Density functional theory data (PBE) for an optimized crystal structure of Sr2InBO5.

a b c (Å): 3.3190 13.7390 10.8774
angles (deg): 90.00 90.00 90.00
Closest atoms and distances in Å follow each position.
Space group Cmc2_1 (No. 36)
Inequivalent atoms, fractional coordinates:
Sr 0.0000 0.1076 0.0000 (multiplicity 4)  5 O 2.45-2.67
Sr 0.0000 0.1349 0.6809 (multiplicity 4)  7 O 2.50-2.80
In 0.0000 0.1856 0.3828 (multiplicity 4)  6 O 2.11-2.36
B 0.0000 0.4380 0.7344 (multiplicity 4)  2 O 1.36-1.39
O 0.0000 0.0355 0.3217 (multiplicity 4)  2 B 1.95, 1 In 2.17
O 0.0000 0.3019 0.0136 (multiplicity 4)  2 In 2.19
O 0.0000 0.3368 0.3496 (multiplicity 4)  1 In 2.11
O 0.0000 0.3367 0.7315 (multiplicity 4)  1 B 1.39
O 0.0000 0.4966 0.6337 (multiplicity 4)  1 B 1.36

Properties
* ΔE_f (raw): -2.2708 eV per atom
* total energy: -6.445 eV per atom
* DOS(E_F): 0.00 states/eV/atom

Density functional theory data (PBE) for an optimized crystal structure of Cs3Tb2CdSe6.

a b c (Å): 7.4010 12.8069 8.7463
angles (deg): 90.00 106.29 90.00
Closest atoms and distances in Å follow each position.
Space group C2/m (No. 12)
Inequivalent atoms, fractional coordinates:
Cs 0.0000 0.0000 0.0000 (multiplicity 2)  6 Se 3.60-3.62
Cs 0.0000 0.3350 0.0000 (multiplicity 4)  6 Se 3.61
Tb 0.0000 0.1670 0.5000 (multiplicity 4)  6 Se 2.91
Cd 0.0000 0.5000 0.5000 (multiplicity 2)  6 Se 2.93-2.94
Se 0.2259 0.0000 0.6857 (multiplicity 4)  2 Tb 2.91, 1 Cd 2.93
Se 0.2301 0.3320 0.6863 (multiplicity 8)  2 Tb 2.91, 1 Cd 2.94

Properties
* ΔE_f (raw): -1.3129 eV per atom
* total energy: -4.116 eV per atom
* DOS(E_F): 1.14 states/eV/atom

Density functional theory data (PBE) for an optimized crystal structure of LaDy2Tc.

a b c (Å): 7.4005 9.3686 6.4842
angles (deg): 90.00 90.00 90.00
Closest atoms and distances in Å follow each position.
Space group Pnma (No. 62)
Inequivalent atoms, fractional coordinates:
La 0.0543 0.2500 0.1284 (multiplicity 4)  2 Tc 2.58-2.89
Dy 0.1746 0.0667 0.6639 (multiplicity 8)  3 Tc 2.94-3.23
Tc 0.1238 0.7500 0.4756 (multiplicity 4)  2 La 2.58-2.89

Properties
* ΔH_f (0 K): -93 meV per atom
* total energy: -6.218 eV per atom
* DOS(E_F): 0.81 states/eV/atom
* relative energy among the computed polymorphs: 0 meV/atom

Density functional theory data (PBE) for an optimized crystal structure of NbSe2BrCl.

a b c (Å): 5.0233 5.0233 5.1893
angles (deg): 90.00 90.00 90.00
Closest atoms and distances in Å follow each position.
Space group P4/mmm (No. 123)
Inequivalent atoms, fractional coordinates:
Nb 0.0000 0.0000 0.0000 (multiplicity 1)  4 Se 2.51, 2 Br 2.59
Se 0.0000 0.5000 0.0000 (multiplicity 2)  2 Nb 2.51
Br 0.0000 0.0000 0.5000 (multiplicity 1)  2 Nb 2.59
Cl 0.5000 0.5000 0.5000 (multiplicity 1)  4 Br 3.55, 8 Se 3.61

Properties
* ΔE_f (raw): -0.2021 eV per atom
* total energy: -4.314 eV per atom
* DOS(E_F): 1.02 states/eV/atom
* relative energy among the computed polymorphs: 0 meV/atom

Density functional theory data (PBE) for an optimized crystal structure of Sr2HoP2N6.

a b c (Å): 5.7297 5.7297 18.0829
angles (deg): 90.00 90.00 120.00
Closest atoms and distances in Å follow each position.
Space group R-3m (No. 166, hexagonal axes)
Inequivalent atoms, fractional coordinates:
Sr 0.0000 0.0000 0.2057 (multiplicity 6)  9 N 2.77-2.96
Ho 0.0000 0.0000 0.0000 (multiplicity 3)  6 N 2.33
P 0.0000 0.0000 0.4177 (multiplicity 6)  3 N 1.58
N 0.0159 0.5080 0.2474 (multiplicity 18)  1 P 1.58

Properties
* ΔE_f (raw): -0.8592 eV per atom
* total energy: -7.106 eV per atom
* DOS(E_F): 0.42 states/eV/atom

Density functional theory data (PBE) for an optimized crystal structure of KTl2Br.

a b c (Å): 3.8490 5.9476 6.3887
angles (deg): 90.00 90.00 90.00
Closest atoms and distances in Å follow each position.
Space group Pmmm (No. 47)
Inequivalent atoms, fractional coordinates:
K 0.0000 0.0000 0.0000 (multiplicity 1)  2 Br 3.19
Tl 0.5000 0.5000 0.2625 (multiplicity 2)  2 Tl 3.03-3.35
Br 0.0000 0.0000 0.5000 (multiplicity 1)  2 K 3.19

Properties
* ΔE_f (raw): -0.3964 eV per atom
* total energy: -2.272 eV per atom
* DOS(E_F): 0.38 states/eV/atom
* relative energy among the computed polymorphs: 219 meV/atom

Density functional theory data (PBE) for an optimized crystal structure of AlAgTeN2.

a b c (Å): 4.0997 4.0997 6.4455
angles (deg): 90.00 90.00 90.00
Closest atoms and distances in Å follow each position.
Space group P4/mmm (No. 123)
Inequivalent atoms, fractional coordinates:
Al 0.0000 0.0000 0.0000 (multiplicity 1)  4 Te 2.90
Ag 0.5000 0.5000 0.5000 (multiplicity 1)  4 N 2.05
Te 0.5000 0.5000 0.0000 (multiplicity 1)  4 Al 2.90, 2 Ag 3.22
N 0.0000 0.5000 0.5000 (multiplicity 2)  2 Ag 2.05

Properties
* ΔE_f (raw): 1.6674 eV per atom
* total energy: -3.610 eV per atom
* DOS(E_F): 0.33 states/eV/atom
* relative energy among the computed polymorphs: 867 meV/atom

Density functional theory data (PBE) for an optimized crystal structure of LiFeSb2.

a b c (Å): 4.1213 3.6224 10.0495
angles (deg): 90.00 90.00 90.00
Closest atoms and distances in Å follow each position.
Space group Amm2 (No. 38)
Inequivalent atoms, fractional coordinates:
Li 0.0000 0.0000 0.0000 (multiplicity 2)  2 Fe 2.62, 7 Sb 2.75-2.91
Fe 0.5000 0.0000 0.8397 (multiplicity 2)  2 Li 2.62, 6 Sb 2.75-2.82
Sb 0.0000 0.0000 0.2739 (multiplicity 2)  3 Li 2.75-2.91, 4 Fe 2.82
Sb 0.5000 0.0000 0.5453 (multiplicity 2)  3 Fe 2.75-2.96, 4 Li 2.78

Properties
* ΔE_f (raw): 0.0248 eV per atom
* total energy: -4.631 eV per atom
* DOS(E_F): 0.93 states/eV/atom
* relative energy among the computed polymorphs: 120 meV/atom

Density functional theory data (PBE) for an optimized crystal structure of Ca2Ho3Se6.

a b c (Å): 7.0784 12.2516 7.2338
angles (deg): 90.00 108.96 90.00
Closest atoms and distances in Å follow each position.
Space group C2/m (No. 12)
Inequivalent atoms, fractional coordinates:
Ca 0.0000 0.1671 0.0000 (multiplicity 4)  6 Se 2.95
Ho 0.0000 0.0000 0.5000 (multiplicity 2)  6 Se 2.87-2.88
Ho 0.0000 0.3346 0.5000 (multiplicity 4)  6 Se 2.87-2.88
Se 0.2456 0.1673 0.7395 (multiplicity 8)  3 Ho 2.88, 2 Ca 2.95
Se 0.2478 0.5000 0.7411 (multiplicity 4)  3 Ho 2.87, 2 Ca 2.95

Properties
* ΔE_f (raw): -1.9268 eV per atom
* total energy: -5.440 eV per atom
* DOS(E_F): 0.32 states/eV/atom

Density functional theory data (PBE) for an optimized crystal structure of Rb2ReAg.

a b c (Å): 8.5043 8.5043 8.5043
angles (deg): 90.00 90.00 90.00
Closest atoms and distances in Å follow each position.
Space group Fm-3m (No. 225)
Inequivalent atoms, fractional coordinates:
Rb 0.2500 0.2500 0.2500 (multiplicity 8)  4 Re 3.68, 4 Ag 3.68
Re 0.0000 0.0000 0.0000 (multiplicity 4)  8 Rb 3.68
Ag 0.0000 0.0000 0.5000 (multiplicity 4)  8 Rb 3.68

Properties
* ΔH_f (0 K): 1602 meV per atom
* total energy: -2.707 eV per atom
* DOS(E_F): 1.38 states/eV/atom
* relative energy among the computed polymorphs: 157 meV/atom

Density functional theory data (PBE) for an optimized crystal structure of Ca2In2Cu15.

a b c (Å): 8.8200 8.8200 12.7677
angles (deg): 90.00 90.00 120.00
Closest atoms and distances in Å follow each position.
Space group R-3m (No. 166, hexagonal axes)
Inequivalent atoms, fractional coordinates:
Ca 0.0000 0.0000 0.1450 (multiplicity 6)  12 Cu 3.03-3.20, 1 In 3.13
In 0.0000 0.0000 0.3900 (multiplicity 6)  6 Cu 2.65-2.73, 1 In 2.81
Cu 0.0000 0.3065 0.5000 (multiplicity 18)  8 Cu 2.53-2.70
Cu 0.0000 0.5000 0.0000 (multiplicity 9)  8 Cu 2.53-2.57, 2 In 2.65
Cu 0.0054 0.5027 0.6558 (multiplicity 18)  8 Cu 2.52-2.65, 1 In 2.73

Properties
* ΔH_f (0 K): -62 meV per atom
* total energy: -3.795 eV per atom
* DOS(E_F): 0.32 states/eV/atom

Density functional theory data (PBE) for an optimized crystal structure of ZnRe2Hg.

a b c (Å): 9.0677 2.8234 5.1338
angles (deg): 90.00 97.12 90.00
Closest atoms and distances in Å follow each position.
Space group Cm (No. 8)
Inequivalent atoms, fractional coordinates:
Zn 0.0000 0.0000 0.0000 (multiplicity 2)  3 Hg 2.62-2.84, 5 Re 2.75-2.87, 2 Zn 2.82
Re 0.2463 0.5000 0.2765 (multiplicity 2)  5 Re 2.59-2.82, 3 Zn 2.85-2.87
Re 0.4921 0.0000 0.4572 (multiplicity 2)  5 Re 2.59-2.82, 2 Zn 2.75
Hg 0.2438 0.0000 0.7735 (multiplicity 2)  3 Zn 2.62-2.84, 2 Hg 2.82, 3 Re 2.92-2.93

Properties
* ΔH_f (0 K): 569 meV per atom
* total energy: -6.049 eV per atom
* DOS(E_F): 0.69 states/eV/atom
* relative energy among the computed polymorphs: 311 meV/atom

Which value of DOS(E_F) does entry 8 give? 0.93 states/eV/atom

The highest DOS(E_F) belongs to which entry? Rb2ReAg

Which of these has the highest total energy? KTl2Br

Which of these has the lowest DOS(E_F)? Sr2InBO5